Material: Li2CdCu
Method: DFT, GGA-PBEsol
State: optimized geometry

electronic total energy = -2.442 eV per atom
total moment = 0.0 μB/cell

Cell and atoms, written as POSCAR:
```
Li2CdCu
1.0
3.3761 0.0000 0.0000
0.0000 4.1908 0.0000
0.0000 0.0000 8.5443
Li Cd Cu
4 2 2
Direct
0.0000 0.0000 0.2375 Li
0.0000 0.0000 0.7625 Li
0.5000 0.5000 0.2625 Li
0.5000 0.5000 0.7375 Li
0.0000 0.5000 0.0000 Cd
0.5000 0.0000 0.5000 Cd
0.0000 0.5000 0.5000 Cu
0.5000 0.0000 0.0000 Cu
```

***

Material: Li2CdCu
Method: DFT, GGA-PBEsol
State: optimized geometry

electronic total energy = -2.431 eV per atom
total moment = 0.0 μB/cell

Cell and atoms, written as POSCAR:
```
Li2CdCu
1.0
2.8176 0.0000 0.0000
0.0000 3.8800 0.0000
0.0000 0.0000 5.6186
Li Cd Cu
2 1 1
Direct
0.0000 0.0000 0.0000 Li
0.5000 0.5000 0.2657 Li
0.0000 0.0000 0.5281 Cd
0.5000 0.5000 0.7707 Cu
```

***

Material: LiCd2Cu
Method: DFT, GGA-PBEsol
State: optimized geometry

electronic total energy = -2.250 eV per atom
total moment = 0.0 μB/cell

Cell and atoms, written as POSCAR:
```
LiCd2Cu
1.0
2.8226 0.0000 0.0000
0.0000 4.3560 0.0000
-1.3170 0.0000 5.2289
Li Cd Cu
1 2 1
Direct
0.0000 0.0000 0.0000 Li
0.2788 0.0000 0.5410 Cd
0.6069 0.5000 0.2149 Cd
0.8806 0.5000 0.7498 Cu
```

***

Material: LiCd2Cu
Method: DFT, GGA-PBEsol
State: optimized geometry

electronic total energy = -2.294 eV per atom
total moment = 0.0 μB/cell

Cell and atoms, written as POSCAR:
```
LiCd2Cu
1.0
4.4556 0.0000 0.0000
0.0000 4.4556 0.0000
0.0000 0.0000 3.1882
Li Cd Cu
1 2 1
Direct
0.0000 0.0000 0.0000 Li
0.0000 0.5000 0.5000 Cd
0.5000 0.0000 0.5000 Cd
0.5000 0.5000 0.0000 Cu
```

***

Material: Li2CdCu
Method: DFT, GGA-PBEsol
State: optimized geometry

electronic total energy = -2.432 eV per atom
total moment = 0.0 μB/cell

Cell and atoms, written as POSCAR:
```
Li2CdCu
1.0
2.9396 0.0000 0.0000
0.0000 2.9396 0.0000
0.0000 0.0000 6.8841
Li Cd Cu
2 1 1
Direct
0.0000 0.0000 0.2161 Li
0.0000 0.0000 0.7839 Li
0.5000 0.5000 0.5000 Cd
0.5000 0.5000 0.0000 Cu
```

***

Material: LiCd2Cu
Method: DFT, GGA-PBEsol
State: optimized geometry

electronic total energy = -2.266 eV per atom
total moment = 0.0 μB/cell

Cell and atoms, written as POSCAR:
```
LiCd2Cu
1.0
3.9539 0.0000 0.0000
0.0000 3.9539 0.0000
0.0000 0.0000 8.2728
Li Cd Cu
2 4 2
Direct
0.0000 0.0000 0.0000 Li
0.5000 0.5000 0.5000 Li
0.0000 0.0000 0.5000 Cd
0.0000 0.5000 0.2500 Cd
0.5000 0.0000 0.7500 Cd
0.5000 0.5000 0.0000 Cd
0.0000 0.5000 0.7500 Cu
0.5000 0.0000 0.2500 Cu
```

***

Repeat the second record exactly.
Material: Li2CdCu
Method: DFT, GGA-PBEsol
State: optimized geometry

electronic total energy = -2.431 eV per atom
total moment = 0.0 μB/cell

Cell and atoms, written as POSCAR:
```
Li2CdCu
1.0
2.8176 0.0000 0.0000
0.0000 3.8800 0.0000
0.0000 0.0000 5.6186
Li Cd Cu
2 1 1
Direct
0.0000 0.0000 0.0000 Li
0.5000 0.5000 0.2657 Li
0.0000 0.0000 0.5281 Cd
0.5000 0.5000 0.7707 Cu
```

***

Q: What is the formula in the sixth record?
A: LiCd2Cu

***

What did the fourth record say?
Material: LiCd2Cu
Method: DFT, GGA-PBEsol
State: optimized geometry

electronic total energy = -2.294 eV per atom
total moment = 0.0 μB/cell

Cell and atoms, written as POSCAR:
```
LiCd2Cu
1.0
4.4556 0.0000 0.0000
0.0000 4.4556 0.0000
0.0000 0.0000 3.1882
Li Cd Cu
1 2 1
Direct
0.0000 0.0000 0.0000 Li
0.0000 0.5000 0.5000 Cd
0.5000 0.0000 0.5000 Cd
0.5000 0.5000 0.0000 Cu
```